The following is a PBE calculation of crystalline Zr2ZnCl at its relaxed geometry, from Alexandria.

Computed properties:
total DFT energy (no corrections)	-5.4349	eV/atom
uncorrected formation energy	-381	meV per atom
excess energy over the best structure of this formula in the dataset	38	kJ/mol of formula units
M_tot	0.000	μB/atom

Cell: 9.246 9.246 9.246 Å, 19.61 19.61 19.61°
Sites, in units of the cell vectors:
Zr  0.997  0.997  0.997
Zr  0.503  0.503  0.503
Zn  0.750  0.750  0.750
Cl  0.250  0.250  0.250

***

The following is a PBE calculation of crystalline GaNi2Mo at its relaxed geometry, from Alexandria.

Computed properties:
total DFT energy (no corrections)	-6.4780	eV/atom
ΔH_f (0 K)	-0.5	eV/f.u.
M_tot	0.000	μB/atom

Cell: 4.250 5.103 4.817 Å, 90.00 90.00 90.00°
Sites, in units of the cell vectors:
Mo  0.000  0.746  0.582
Mo  0.000  0.254  0.582
Ga  0.000  0.000  0.084
Ga  0.500  0.500  0.833
Ni  0.500  0.000  0.776
Ni  0.500  0.750  0.295
Ni  0.500  0.250  0.295
Ni  0.000  0.500  0.101

***

The following is a PBE calculation of crystalline YZr2Ni at its relaxed geometry, from Alexandria.

Computed properties:
total DFT energy (no corrections)	-7.4593	eV/atom
excess energy over the best structure of this formula in the dataset	15	kJ/mol of formula units
ΔH_f (0 K)	-0.5	eV/f.u.
M_tot	0.000	μB/atom

Cell: 6.076 6.076 4.993 Å, 65.76 65.76 31.61°
Sites, in units of the cell vectors:
Y  0.250  0.250  0.250
Ni  0.750  0.750  0.750
Zr  0.457  0.457  0.543
Zr  0.043  0.043  0.957

***

The following is a PBE calculation of crystalline Cs3Sn5Bi2 at its relaxed geometry, from Alexandria.

Computed properties:
total DFT energy (no corrections)	-3.2217	eV/atom
ΔH_f (0 K)	-1.9	eV/f.u.
M_tot	0.000	μB/atom

Cell: 7.608 11.101 11.101 Å, 73.36 69.96 69.96°
Sites, in units of the cell vectors:
Sn  0.488  0.262  0.262
Sn  0.250  0.500  0.500
Sn  0.620  0.263  0.497
Sn  0.380  0.737  0.503
Sn  0.880  0.503  0.737
Sn  0.988  0.262  0.262
Sn  0.512  0.738  0.738
Sn  0.120  0.497  0.263
Sn  0.750  0.500  0.500
Sn  0.012  0.738  0.738
Bi  0.337  0.014  0.312
Bi  0.663  0.986  0.688
Bi  0.837  0.312  0.014
Bi  0.163  0.688  0.986
Cs  0.250  0.000  0.000
Cs  0.385  0.372  0.858
Cs  0.750  0.000  0.000
Cs  0.615  0.628  0.142
Cs  0.885  0.858  0.372
Cs  0.115  0.142  0.628

***

The following is a PBE calculation of crystalline Ac2TeBr at its relaxed geometry, from Alexandria.

Computed properties:
total DFT energy (no corrections)	-4.4812	eV/atom
uncorrected formation energy	-1223	meV per atom
excess energy over the best structure of this formula in the dataset	23	kJ/mol of formula units
M_tot	0.000	μB/atom

Cell: 5.667 5.667 5.667 Å, 60.00 60.00 60.00°
Sites, in units of the cell vectors:
Ac  0.250  0.250  0.250
Ac  0.750  0.750  0.750
Br  0.500  0.500  0.500
Te  0.000  0.000  0.000

***

The following is a PBE calculation of crystalline Nd3DyEr4 at its relaxed geometry, from Alexandria.

Computed properties:
total DFT energy (no corrections)	-4.6226	eV/atom
excess energy over the best structure of this formula in the dataset	0	kJ/mol of formula units
ΔH_f (0 K)	0.2	eV/f.u.
M_tot	0.000	μB/atom

Cell: 6.283 7.299 11.425 Å, 90.00 90.00 90.00°
Sites, in units of the cell vectors:
Er  0.481  0.879  0.252
Er  0.981  0.121  0.752
Er  0.647  0.121  0.500
Er  0.147  0.879  0.000
Er  0.648  0.121  0.000
Er  0.481  0.879  0.748
Er  0.981  0.121  0.248
Er  0.148  0.879  0.500
Nd  0.982  0.627  0.750
Nd  0.482  0.373  0.250
Nd  0.982  0.627  0.250
Nd  0.146  0.372  0.500
Nd  0.646  0.628  0.000
Nd  0.482  0.373  0.750
Dy  0.146  0.370  0.000
Dy  0.646  0.630  0.500